## NaMo2F8 (GGA+U)

Data for NaMo2F8 after structural relaxation.

Properties
volume: 172.8 Å³ per cell
energy above the most stable polymorph in this dataset: 39 kJ/mol of formula units
ρ: 3.52 g/cm3

Unit cell a=4.3187 b=6.5201 c=7.5419 alpha=125.51 beta=89.91 gamma=90.83
Each line ends with the local moment (μB).
Fractional positions:
F: 0.7559 0.7872 0.1335  0.02
F: 0.2449 0.2080 0.3439  0.02
F: 0.2498 0.8240 0.4124  0.01
F: 0.2441 0.2128 0.8665  0.02
F: 0.7551 0.7920 0.6561  0.02
F: 0.2542 0.6190 0.8081  0.02
F: 0.7458 0.3810 0.1919  0.02
F: 0.7502 0.1760 0.5875  0.01
Na: 0.0000 0.0000 0.0000  0.00
Mo: 0.2516 0.2546 0.6272  2.36
Mo: 0.7484 0.7454 0.3728  2.36